Material: LiGaCuIr
Method: DFT, GGA-PBE
State: optimized geometry

Results
As for the total energy: -4.811 eV per atom. For the density, the calculation gives 10.3 Mg/m³.

Lattice parameters (Å, degrees): 4.2341 4.2341 4.2341 60.00 60.00 60.00
Closest atoms and distances in Å follow each position.
Sites, in units of the cell vectors:
Ir: 0.5000 0.5000 0.5000  4 Cu 2.59, 4 Ga 2.59
Cu: 0.2500 0.2500 0.2500  4 Li 2.59, 4 Ir 2.59
Ga: 0.7500 0.7500 0.7500  4 Li 2.59, 4 Ir 2.59
Li: 0.0000 0.0000 0.0000  4 Cu 2.59, 4 Ga 2.59